Density functional theory data (PBE-GGA) for crystalline ZnCo4Ag at its relaxed geometry.

## Properties
- Density: 8.72 Mg/m³
- DOS at the Fermi energy: 1.0631 states/eV per atom
- M_tot: 6.76 μB/f.u.
- Calculated total energy: -5.1947 eV per atom

Lattice parameters (Å, degrees): 4.793 4.793 4.793 60.00 60.00 60.00
Site moments in Bohr magnetons follow the coordinates.
Fractional coordinates of all 6 atoms:
1 Ag 0.000 0.000 0.000  0.01
2 Zn 0.750 0.750 0.750  -0.04
3 Co 0.375 0.375 0.874  1.72
4 Co 0.375 0.874 0.375  1.72
5 Co 0.375 0.375 0.375  1.72
6 Co 0.874 0.375 0.375  1.72